Compound: TbNpNiO6
Source: Alexandria via LeMat-Bulk
Functional: GGA+U
Structure: relaxed

Output
Calculated total energy   -8.0537 eV/atom

```
TbNpNiO6
1.0
-0.973 0.104 -5.211
-1.187 -4.322 2.833
-9.139 3.678 1.780
Np Tb O Ni
2 2 12 2
Direct
0.667 0.333 0.250
0.333 0.667 0.750
0.000 0.000 0.500
0.000 0.000 0.000
0.346 0.991 0.638
0.346 0.355 0.862
0.645 0.991 0.862
0.645 0.654 0.638
0.991 0.645 0.362
0.991 0.346 0.138
0.009 0.355 0.638
0.355 0.009 0.138
0.654 0.009 0.362
0.654 0.645 0.138
0.009 0.654 0.862
0.355 0.346 0.362
0.667 0.333 0.750
0.333 0.667 0.250
```